[1]
Material: HgOsBr4
Method: DFT, GGA-PBE
State: optimized geometry

Results
SG = F-43m, No. 216
Density of states at the Fermi level = 1.492 states/eV/atom

abc: 6.288 6.288 6.288
angles: 60.00 60.00 60.00
Positions (direct):
1 Hg 0.000 0.000 0.000
2 Os 0.750 0.750 0.750
3 Br 0.376 0.376 0.376
4 Br 0.376 0.376 0.873
5 Br 0.376 0.873 0.376
6 Br 0.873 0.376 0.376

***

[2]
Material: HgOsBr2
Method: DFT, GGA-PBE
State: optimized geometry

Results
E above lowest polymorph = 0.076 eV/atom
SG = Cm, No. 8
Density of states at the Fermi level = 0.769 states/eV/atom

abc: 10.529 3.387 7.194
angles: 90.00 113.84 90.00
Positions (direct):
1 Hg 0.000 0.000 0.000
2 Hg 0.500 0.500 0.000
3 Os 0.238 0.500 0.000
4 Os 0.738 0.000 0.000
5 Br 0.173 0.000 0.716
6 Br 0.329 0.000 0.284
7 Br 0.673 0.500 0.716
8 Br 0.829 0.500 0.284

***

[3]
Material: HgOs2Br
Method: DFT, GGA-PBE
State: optimized geometry

Results
E above lowest polymorph = 0.667 eV/atom
SG = F-43m, No. 216
Density of states at the Fermi level = 1.599 states/eV/atom

abc: 6.571 6.571 6.571
angles: 90.00 90.00 90.00
Positions (direct):
1 Hg 0.000 0.000 0.000
2 Hg 0.000 0.500 0.500
3 Hg 0.500 0.000 0.500
4 Hg 0.500 0.500 0.000
5 Os 0.000 0.000 0.500
6 Os 0.000 0.500 0.000
7 Os 0.250 0.250 0.250
8 Os 0.250 0.750 0.750
9 Os 0.500 0.000 0.000
10 Os 0.500 0.500 0.500
11 Os 0.750 0.250 0.750
12 Os 0.750 0.750 0.250
13 Br 0.250 0.250 0.750
14 Br 0.250 0.750 0.250
15 Br 0.750 0.250 0.250
16 Br 0.750 0.750 0.750

***

[4]
Material: HgOs2Br
Method: DFT, GGA-PBE
State: optimized geometry

Results
E above lowest polymorph = 0.741 eV/atom
SG = Cmmm, No. 65
Density of states at the Fermi level = 1.271 states/eV/atom

abc: 6.062 7.552 2.997
angles: 90.00 90.00 90.00
Positions (direct):
1 Hg 0.000 0.000 0.000
2 Hg 0.500 0.500 0.000
3 Os 0.250 0.250 0.500
4 Os 0.250 0.750 0.500
5 Os 0.750 0.250 0.500
6 Os 0.750 0.750 0.500
7 Br 0.000 0.500 0.000
8 Br 0.500 0.000 0.000

***

[5]
Material: HgOs2Br
Method: DFT, GGA-PBE
State: optimized geometry

Results
E above lowest polymorph = 0.317 eV/atom
SG = R-3m, No. 166
Density of states at the Fermi level = 0.722 states/eV/atom

abc: 2.963 2.963 26.596
angles: 90.00 90.00 120.00
Positions (direct):
1 Hg 0.000 0.000 0.000
2 Hg 0.333 0.667 0.667
3 Hg 0.667 0.333 0.333
4 Os 0.000 0.000 0.245
5 Os 0.000 0.000 0.755
6 Os 0.333 0.667 0.421
7 Os 0.333 0.667 0.912
8 Os 0.667 0.333 0.088
9 Os 0.667 0.333 0.579
10 Br 0.000 0.000 0.500
11 Br 0.333 0.667 0.167
12 Br 0.667 0.333 0.833

***

[6]
Material: HgOsBr2
Method: DFT, GGA-PBE
State: optimized geometry

Results
E above lowest polymorph = 0.379 eV/atom
SG = Imm2, No. 44
Density of states at the Fermi level = 0.674 states/eV/atom

abc: 3.075 4.776 13.398
angles: 90.00 90.00 90.00
Positions (direct):
1 Hg 0.000 0.000 0.000
2 Hg 0.500 0.500 0.500
3 Os 0.000 0.500 0.680
4 Os 0.500 0.000 0.180
5 Br 0.000 0.000 0.330
6 Br 0.000 0.500 0.166
7 Br 0.500 0.000 0.666
8 Br 0.500 0.500 0.830

***

[7]
Material: HgOsBr2
Method: DFT, GGA-PBE
State: optimized geometry

Results
E above lowest polymorph = 0.853 eV/atom
SG = C2/m, No. 12
Density of states at the Fermi level = 0.876 states/eV/atom

abc: 6.302 9.360 3.252
angles: 90.00 112.08 90.00
Positions (direct):
1 Hg 0.000 0.000 0.000
2 Hg 0.500 0.500 0.000
3 Os 0.000 0.500 0.000
4 Os 0.500 0.000 0.000
5 Br 0.250 0.250 0.000
6 Br 0.250 0.750 0.000
7 Br 0.750 0.250 0.000
8 Br 0.750 0.750 0.000

***

[8]
Material: HgOs2Br
Method: DFT, GGA-PBE
State: optimized geometry

Results
E above lowest polymorph = 0.000 eV/atom
SG = Cmm2, No. 35
Density of states at the Fermi level = 0.919 states/eV/atom

abc: 2.831 5.058 10.830
angles: 90.00 90.00 90.00
Positions (direct):
1 Hg 0.000 0.000 0.000
2 Hg 0.500 0.500 0.000
3 Os 0.000 0.000 0.443
4 Os 0.000 0.500 0.249
5 Os 0.500 0.000 0.249
6 Os 0.500 0.500 0.443
7 Br 0.000 0.500 0.669
8 Br 0.500 0.000 0.669

***

[9]
Material: HgOs2Br
Method: DFT, GGA-PBE
State: optimized geometry

Results
E above lowest polymorph = 0.641 eV/atom
SG = I-4m2, No. 119
Density of states at the Fermi level = 1.241 states/eV/atom

abc: 4.975 4.975 5.733
angles: 90.00 90.00 90.00
Positions (direct):
1 Hg 0.000 0.000 0.000
2 Hg 0.500 0.500 0.500
3 Os 0.000 0.000 0.500
4 Os 0.000 0.500 0.250
5 Os 0.500 0.000 0.750
6 Os 0.500 0.500 0.000
7 Br 0.000 0.500 0.750
8 Br 0.500 0.000 0.250

***

[10]
Material: HgOsBr2
Method: DFT, GGA-PBE
State: optimized geometry

Results
E above lowest polymorph = 0.000 eV/atom
SG = C2/m, No. 12

abc: 6.615 3.819 9.703
angles: 90.00 102.75 90.00
Positions (direct):
1 Hg 0.000 0.000 0.000
2 Hg 0.500 0.500 0.000
3 Os 0.000 0.500 0.500
4 Os 0.500 0.000 0.500
5 Br 0.210 0.000 0.634
6 Br 0.290 0.500 0.366
7 Br 0.710 0.500 0.634
8 Br 0.790 0.000 0.366

***

[11]
Material: HgOs2Br
Method: DFT, GGA-PBE
State: optimized geometry

Results
E above lowest polymorph = 0.371 eV/atom
SG = C2/m, No. 12
Density of states at the Fermi level = 0.908 states/eV/atom

abc: 8.746 2.953 5.678
angles: 90.00 103.01 90.00
Positions (direct):
1 Hg 0.000 0.000 0.000
2 Hg 0.500 0.500 0.000
3 Os 0.249 0.500 0.303
4 Os 0.251 0.000 0.697
5 Os 0.749 0.000 0.303
6 Os 0.751 0.500 0.697
7 Br 0.000 0.500 0.500
8 Br 0.500 0.000 0.500

***

[12]
Material: HgOsBr2
Method: DFT, GGA-PBE
State: optimized geometry

Results
E above lowest polymorph = 1.035 eV/atom
SG = P4/mmm, No. 123
Density of states at the Fermi level = 0.495 states/eV/atom

abc: 4.507 4.507 4.131
angles: 90.00 90.00 90.00
Positions (direct):
1 Hg 0.000 0.000 0.000
2 Os 0.500 0.500 0.000
3 Br 0.000 0.500 0.500
4 Br 0.500 0.000 0.500

***

Record order is preserved below.
Calculated total energy: -9.4 -26.7 -72.8 -35.8 -58.8 -24.3 -20.5 -41.7 -36.6 -27.3 -38.8 -9.5 eV/cell